VASP calculation (PBE-GGA) on a relaxed Ac2IrPd2 crystal.

Cell: 4.0535 4.2255 7.6524 Å, 106.03 90.00 90.00°
With the nearest neighbours (Å) after each atom.
Sites, in units of the cell vectors:
Ac (0.0000, 0.6796, 0.3592)  4 Ir 3.06, 2 Pd 3.32
Ac (0.0000, 0.9346, 0.8691)  4 Pd 3.08, 2 Ir 3.39
Ir (0.5000, 0.1193, 0.2386)  3 Pd 2.74-2.78, 4 Ac 3.06
Pd (0.5000, 0.3082, 0.6164)  1 Ir 2.78, 1 Pd 2.83
Pd (0.5000, 0.5004, 0.0008)  2 Ir 2.74, 1 Pd 2.83

- energy of formation from the pure elements (eV per atom) = -0.66
- crystal system = orthorhombic
- SG = No. 38

***

VASP calculation (PBE-GGA) on a relaxed TmPdN crystal.

Cell: 4.6409 4.6409 3.8555 Å, 90.00 90.00 120.00°
With the nearest neighbours (Å) after each atom.
Sites, in units of the cell vectors:
Tm (0.3333, 0.6667, 0.5000)  3 Pd 2.68
N (0.6667, 0.3333, 0.0000)  2 Pd 1.93
Pd (0.6667, 0.3333, 0.5000)  2 N 1.93

- uncorrected formation energy (kJ per mole of atoms) = 47
- crystal system = hexagonal
- SG = No. 187

***

How do the records compare in calculated total energy? In the order shown, they have -6.155, -5.511 eV/atom.
How do the records compare in calculated volume? In the order shown, they have 126, 72 Å³ per cell.